(1)
This record from the Alexandria database describes crystalline La3SnSb at its relaxed geometry. The functional is PBE-GGA.

```
data_La3SnSb
_symmetry_space_group_name_H-M 'P m -3 m'
_symmetry_Int_Tables_number 221
_symmetry_space_group_name_Hall '-P 4 2 3'
_cell_length_a 5.9470
_cell_length_b 5.9470
_cell_length_c 5.9470
_cell_angle_alpha 90.00
_cell_angle_beta 90.00
_cell_angle_gamma 90.00
loop_
_atom_site_label
_atom_site_type_symbol
_atom_site_fract_x
_atom_site_fract_y
_atom_site_fract_z
La1 La 0.0000 0.0000 0.5000
Sn1 Sn 0.5000 0.5000 0.5000
Sb1 Sb 0.0000 0.0000 0.0000
```

Calculated values
energy relative to the elements, uncorrected	-0.2810	eV per atom

***

(2)
This record from the Alexandria database describes crystalline Co3SiOs at its relaxed geometry. The functional is PBE-GGA.

```
data_Co3SiOs
_symmetry_space_group_name_H-M 'P m -3 m'
_symmetry_Int_Tables_number 221
_symmetry_space_group_name_Hall '-P 4 2 3'
_cell_length_a 4.4406
_cell_length_b 4.4406
_cell_length_c 4.4406
_cell_angle_alpha 90.00
_cell_angle_beta 90.00
_cell_angle_gamma 90.00
loop_
_atom_site_label
_atom_site_type_symbol
_atom_site_fract_x
_atom_site_fract_y
_atom_site_fract_z
Co1 Co 0.0000 0.0000 0.5000
Si1 Si 0.5000 0.5000 0.5000
Os1 Os 0.0000 0.0000 0.0000
```

Calculated values
energy relative to the elements, uncorrected	1.6122	eV per atom

***

(3)
This record from the Alexandria database describes crystalline Pm2TiSn3 at its relaxed geometry. The functional is PBE-GGA.

```
data_Pm2TiSn3
_symmetry_space_group_name_H-M 'C 1 2/c 1'
_symmetry_Int_Tables_number 15
_cell_length_a 6.2556
_cell_length_b 14.0878
_cell_length_c 7.7843
_cell_angle_alpha 90.00
_cell_angle_beta 110.05
_cell_angle_gamma 90.00
loop_
_symmetry_equiv_pos_as_xyz
'x,y,z'
'-x,-y,-z'
'-x,y,-z+1/2'
'x,-y,z+1/2'
'x+1/2,y+1/2,z'
'-x+1/2,-y+1/2,-z'
'-x+1/2,y+1/2,-z+1/2'
'x+1/2,-y+1/2,z+1/2'
loop_
_atom_site_label
_atom_site_type_symbol
_atom_site_fract_x
_atom_site_fract_y
_atom_site_fract_z
Pm1 Pm 0.0000 0.0304 0.2500
Pm2 Pm 0.0000 0.3227 0.2500
Ti1 Ti 0.0000 0.3571 0.7500
Sn1 Sn 0.0000 0.5000 0.0000
Sn2 Sn 0.0553 0.1769 0.9591
```

Calculated values
formation energy from the elements	-504	meV/atom

***

(4)
This record from the Alexandria database describes crystalline CeMg2CdPt2 at its relaxed geometry. The functional is PBE-GGA.

```
data_CeMg2CdPt2
_symmetry_space_group_name_H-M 'P -3 m 1'
_symmetry_Int_Tables_number 164
_symmetry_space_group_name_Hall '-P 3 2"'
_cell_length_a 4.5950
_cell_length_b 4.5950
_cell_length_c 6.6956
_cell_angle_alpha 90.00
_cell_angle_beta 90.00
_cell_angle_gamma 120.00
loop_
_atom_site_label
_atom_site_type_symbol
_atom_site_fract_x
_atom_site_fract_y
_atom_site_fract_z
Ce1 Ce 0.0000 0.0000 0.0000
Mg1 Mg 0.3333 0.6667 0.6728
Cd1 Cd 0.0000 0.0000 0.5000
Pt1 Pt 0.3333 0.6667 0.2522
```

Calculated values
formation energy from the elements	-701	meV/atom

***

Number 1: VASP energy -0.179 Ha/atom. Number 2: VASP energy -0.220 Ha/atom. Number 3: VASP energy -0.199 Ha/atom. Number 4: VASP energy -0.161 Ha/atom.